SmHoTmAg | PBE-GGA | relaxed

The structure in POSCAR format:
```
SmHoTmAg
1.0
-2.637 0.088 -4.688
-1.500 -4.611 -2.329
-5.203 -1.351 -0.185
Sm Ag Tm Ho
1 1 1 1
direct
0.000 0.000 0.000
0.250 0.250 0.250
0.750 0.750 0.750
0.500 0.500 0.500
```

Computed properties:
Magnetization = 0.00 Bohr magnetons per cell
Energy relative to the elements = 51 meV per atom